# 1
The following is a DFT calculation (PBE) of a geometry-optimized La2Sm5DyEr structure.

Results
The calculation puts the density of states at the Fermi level at 12.8 states/eV/f.u. The volume is 34.62 Å³ per atom. The calculation puts the formation enthalpy at 0 K at 0.130 eV/atom.

Lattice parameters (Å, degrees): 5.701 20.271 10.785 90.00 90.00 90.00
Space group Cmc2_1 (No. 36)
Inequivalent atoms, fractional coordinates:
La 0.000 0.114 0.000
La 0.000 0.117 0.584
Sm 0.000 0.016 0.287
Sm 0.000 0.279 0.576
Sm 0.000 0.298 0.970
Sm 0.000 0.386 0.288
Sm 0.000 0.481 0.008
Dy 0.000 0.201 0.276
Er 0.000 0.409 0.728



# 2
The following is a DFT calculation (PBE) of a geometry-optimized LaSm4Dy2Er structure.

Results
The calculation puts the density of states at the Fermi level at 10.4 states/eV/f.u. The volume is 33.16 Å³ per atom. The calculation puts the formation enthalpy at 0 K at 0.016 eV/atom.

Lattice parameters (Å, degrees): 7.226 7.203 10.194 90.00 90.04 90.00
Space group P2/m (No. 10)
Inequivalent atoms, fractional coordinates:
La 0.000 0.000 0.000
La 0.500 0.000 0.000
Sm 0.249 0.253 0.747
Sm 0.250 0.252 0.253
Dy 0.000 0.500 0.500
Dy 0.500 0.000 0.500
Dy 0.500 0.500 0.000
Dy 0.500 0.500 0.500
Er 0.000 0.000 0.500
Er 0.000 0.500 0.000



# 3
The following is a DFT calculation (PBE) of a geometry-optimized LaSm6DyEr2 structure.

Results
The calculation puts the density of states at the Fermi level at 14.6 states/eV/f.u. The volume is 33.69 Å³ per atom. The calculation puts the formation enthalpy at 0 K at 0.118 eV/atom.

Lattice parameters (Å, degrees): 9.342 15.110 9.602 90.00 96.08 90.00
Space group C2/c (No. 15)
Inequivalent atoms, fractional coordinates:
La 0.000 0.034 0.250
Sm 0.064 0.179 0.943
Sm 0.094 0.388 0.117
Sm 0.218 0.227 0.319
Dy 0.000 0.410 0.750
Er 0.248 0.451 0.449



# 4
The following is a DFT calculation (PBE) of a geometry-optimized La3TbDyEr structure.

Results
The calculation puts the density of states at the Fermi level at 9.9 states/eV/f.u. The volume is 34.16 Å³ per atom. The calculation puts the formation enthalpy at 0 K at 0.026 eV/atom.

Lattice parameters (Å, degrees): 10.915 3.645 10.936 90.00 109.60 90.00
Space group P2_1/m (No. 11)
Inequivalent atoms, fractional coordinates:
La 0.043 0.250 0.370
La 0.294 0.750 0.623
La 0.454 0.750 0.125
Tb 0.205 0.250 0.880
Dy 0.374 0.250 0.372
Er 0.123 0.750 0.121



# 5
The following is a DFT calculation (PBE) of a geometry-optimized LaTb2DyEr4 structure.

Results
The calculation puts the density of states at the Fermi level at 10.5 states/eV/f.u. The volume is 31.69 Å³ per atom. The calculation puts the formation enthalpy at 0 K at 0.020 eV/atom.

Lattice parameters (Å, degrees): 12.296 7.120 12.279 90.00 109.38 90.00
Space group C2/m (No. 12)
Inequivalent atoms, fractional coordinates:
La 0.250 0.250 0.000
Tb 0.000 0.000 0.000
Tb 0.000 0.000 0.500
Tb 0.250 0.250 0.500
Dy 0.000 0.500 0.000
Dy 0.000 0.500 0.500
Er 0.001 0.250 0.252
Er 0.249 0.000 0.746
Er 0.249 0.500 0.746



# 6
The following is a DFT calculation (PBE) of a geometry-optimized LaTb2Dy2Er2 structure.

Results
The calculation puts the density of states at the Fermi level at 12.0 states/eV/f.u. The volume is 33.02 Å³ per atom. The calculation puts the formation enthalpy at 0 K at 0.150 eV/atom.

Lattice parameters (Å, degrees): 17.634 3.498 8.381 90.00 116.58 90.00
Space group C2/m (No. 12)
Inequivalent atoms, fractional coordinates:
La 0.000 0.000 0.000
Tb 0.150 0.500 0.889
Dy 0.072 0.500 0.411
Er 0.212 0.000 0.299



# 7
The following is a DFT calculation (PBE) of a geometry-optimized LaTb5DyEr2 structure.

Results
The calculation puts the density of states at the Fermi level at 14.7 states/eV/f.u. The volume is 32.78 Å³ per atom. The calculation puts the formation enthalpy at 0 K at 0.164 eV/atom.

Lattice parameters (Å, degrees): 5.628 19.897 10.540 90.00 90.00 90.00
Space group Cmc2_1 (No. 36)
Inequivalent atoms, fractional coordinates:
La 0.000 0.083 0.000
Tb 0.000 0.021 0.288
Tb 0.000 0.114 0.574
Tb 0.000 0.203 0.260
Tb 0.000 0.219 0.865
Tb 0.000 0.483 0.575
Dy 0.000 0.300 0.563
Er 0.000 0.386 0.870
Er 0.000 0.388 0.284



# 8
The following is a DFT calculation (PBE) of a geometry-optimized LaTb2DyEr2 structure.

Results
The calculation puts the density of states at the Fermi level at 9.1 states/eV/f.u. The volume is 32.92 Å³ per atom. The calculation puts the formation enthalpy at 0 K at 0.167 eV/atom.

Lattice parameters (Å, degrees): 6.940 16.107 3.534 90.00 90.00 90.00
Space group Pnnm (No. 58)
Inequivalent atoms, fractional coordinates:
La 0.000 0.000 0.000
Tb 0.248 0.341 0.000
Dy 0.000 0.500 0.500
Er 0.250 0.156 0.500



# 9
The following is a DFT calculation (PBE) of a geometry-optimized La2TbDy6Er3 structure.

Results
The calculation puts the density of states at the Fermi level at 16.5 states/eV/f.u. The volume is 32.17 Å³ per atom. The calculation puts the formation enthalpy at 0 K at 0.024 eV/atom.

Lattice parameters (Å, degrees): 6.188 10.715 11.824 90.00 100.03 90.00
Space group C2/m (No. 12)
Inequivalent atoms, fractional coordinates:
La 0.000 0.167 0.000
Tb 0.000 0.500 0.000
Dy 0.246 0.500 0.744
Dy 0.248 0.166 0.744
Er 0.000 0.000 0.500
Er 0.000 0.334 0.500



# 10
The following is a DFT calculation (PBE) of a geometry-optimized La6TbDyEr2 structure.

Results
The calculation puts the density of states at the Fermi level at 16.5 states/eV/f.u. The volume is 35.36 Å³ per atom. The calculation puts the formation enthalpy at 0 K at 0.173 eV/atom.

Lattice parameters (Å, degrees): 11.531 12.888 9.977 90.00 107.47 90.00
Space group C2/c (No. 15)
Inequivalent atoms, fractional coordinates:
La 0.088 0.126 0.113
La 0.095 0.336 0.910
La 0.206 0.177 0.638
Tb 0.000 0.084 0.750
Dy 0.000 0.399 0.250
Er 0.196 0.462 0.612



# 11
The following is a DFT calculation (PBE) of a geometry-optimized La2TbDy2Er structure.

Results
The calculation puts the density of states at the Fermi level at 9.7 states/eV/f.u. The volume is 33.19 Å³ per atom. The calculation puts the formation enthalpy at 0 K at 0.067 eV/atom.

Lattice parameters (Å, degrees): 5.700 9.867 7.082 90.00 90.00 90.00
Space group Pmc2_1 (No. 26)
Inequivalent atoms, fractional coordinates:
La 0.000 0.000 0.000
La 0.500 0.179 0.250
Tb 0.000 0.342 0.749
Dy 0.000 0.334 0.249
Dy 0.500 0.166 0.750
Er 0.500 0.500 0.499



# 12
The following is a DFT calculation (PBE) of a geometry-optimized La2Tb2DyEr structure.

Results
The calculation puts the density of states at the Fermi level at 9.6 states/eV/f.u. The volume is 33.23 Å³ per atom. The calculation puts the formation enthalpy at 0 K at 0.065 eV/atom.

Lattice parameters (Å, degrees): 5.700 9.877 7.082 90.00 90.00 90.00
Space group Pmc2_1 (No. 26)
Inequivalent atoms, fractional coordinates:
La 0.000 0.001 0.000
La 0.500 0.178 0.750
Tb 0.000 0.334 0.750
Tb 0.500 0.166 0.250
Dy 0.000 0.342 0.251
Er 0.500 0.500 0.000